[1]
Crystalline CrSi2Os at its relaxed geometry, computed with GGA-PBE.

Computed properties:
* raw formation energy: 13.9 kJ/mol of formula units
* space group: No. 47

a = 2.932 Å, b = 3.868 Å, c = 4.714 Å
α = 90.00°, β = 90.00°, γ = 90.00°
Element x y z (fractional)
Cr 0.000 0.000 0.000
Si 0.000 0.500 0.500
Si 0.500 0.500 0.000
Os 0.500 0.000 0.500

[2]
Crystalline CrSiOs2 at its relaxed geometry, computed with GGA-PBE.

Computed properties:
* raw formation energy: 1.9 kJ/mol of formula units
* space group: No. 10

a = 2.738 Å, b = 3.878 Å, c = 5.195 Å
α = 90.00°, β = 103.16°, γ = 90.00°
Element x y z (fractional)
Cr 0.000 0.000 0.000
Si 0.000 0.000 0.500
Os 0.377 0.500 0.742
Os 0.623 0.500 0.258

Total DFT energy (no corrections) list, top to bottom, in eV per atom: -7.8888; -9.3716
Spin magnetization list, top to bottom, in μB/cell: 1.83; 0.00